VASP calculation (GGA-PBE) on crystalline Pa2MnCo12P3 at its relaxed geometry.

POSCAR file:
```
Pa2MnCo12P3
1.0
0.165 0.858 -6.140
-5.394 -2.755 -1.334
-3.488 5.124 -0.182
Co Pa P Mn
12 2 3 1
direct
0.374 0.897 0.374
0.186 0.186 0.670
0.103 0.626 0.626
0.626 0.626 0.103
0.626 0.103 0.626
0.814 0.814 0.330
0.374 0.374 0.897
0.897 0.374 0.374
0.670 0.186 0.186
0.814 0.330 0.814
0.330 0.814 0.814
0.186 0.670 0.186
0.359 0.359 0.359
0.641 0.641 0.641
0.500 0.000 0.000
0.000 0.500 0.000
0.000 0.000 0.500
0.000 0.000 0.000
```

Summary:
**Energy relative to the elements**: -10.6 kJ per mole of atoms
**Total magnetization**: 8.877 Bohr magnetons per cell
**V**: 12.9 Å³/atom
**Fermi-level density of states**: 0.87 states/eV/atom
**Crystal system**: trigonal

VASP calculation (GGA-PBE) on crystalline MnCoPPb2 at its relaxed geometry.

POSCAR file:
```
MnCoPPb2
1.0
5.193 0.000 0.000
0.000 4.201 0.000
0.000 0.000 5.193
Mn Pb P Co
1 2 1 1
direct
0.000 0.000 0.000
0.500 0.000 0.000
0.000 0.000 0.500
0.000 0.500 0.000
0.500 0.500 0.500
```

Summary:
**Energy relative to the elements**: 71.4 kJ per mole of atoms
**Total magnetization**: 1.297 Bohr magnetons per cell
**V**: 22.7 Å³/atom
**Fermi-level density of states**: 0.58 states/eV/atom
**Crystal system**: tetragonal

VASP calculation (GGA-PBE) on crystalline PmMnCoP2 at its relaxed geometry.

POSCAR file:
```
PmMnCoP2
1.0
-1.358 -0.100 -3.598
-3.456 -1.038 1.333
1.089 5.423 1.495
Mn P Pm Co
1 2 1 1
direct
0.250 0.750 0.500
0.361 0.361 0.721
0.639 0.639 0.279
0.000 0.000 0.000
0.750 0.250 0.500
```

Summary:
**Energy relative to the elements**: -94.2 kJ per mole of atoms
**Total magnetization**: 0.000 Bohr magnetons per cell
**V**: 14.9 Å³/atom
**Fermi-level density of states**: 0.41 states/eV/atom
**Crystal system**: tetragonal

VASP calculation (GGA-PBE) on crystalline Pm2MnCo3P4 at its relaxed geometry.

POSCAR file:
```
Pm2MnCo3P4
1.0
3.976 0.000 0.000
0.000 3.976 0.000
0.000 0.000 9.191
Co Mn P Pm
3 1 4 2
direct
0.000 0.500 0.113
0.500 0.000 0.887
0.000 0.000 0.500
0.500 0.500 0.500
0.500 0.500 0.000
0.000 0.000 0.000
0.500 0.000 0.628
0.000 0.500 0.372
0.500 0.000 0.241
0.000 0.500 0.759
```

Summary:
**Energy relative to the elements**: -91.6 kJ per mole of atoms
**Total magnetization**: 0.000 Bohr magnetons per cell
**V**: 14.5 Å³/atom
**Fermi-level density of states**: 0.50 states/eV/atom
**Crystal system**: tetragonal

VASP calculation (GGA-PBE) on crystalline Mn2CoPPt at its relaxed geometry.

POSCAR file:
```
Mn2CoPPt
1.0
4.311 0.000 0.000
0.000 4.406 0.000
0.000 0.000 4.311
Pt Co Mn P
1 1 2 1
direct
0.000 0.500 0.000
0.500 0.500 0.500
0.000 0.000 0.500
0.500 0.000 0.000
0.000 0.000 0.000
```

Summary:
**Excess energy over the best structure of this formula in the dataset**: 0.0 meV/atom
**Energy relative to the elements**: 39.8 kJ per mole of atoms
**Total magnetization**: 8.394 Bohr magnetons per cell
**V**: 16.4 Å³/atom
**Fermi-level density of states**: 0.97 states/eV/atom
**Crystal system**: tetragonal

VASP calculation (GGA-PBE) on crystalline Mn2CoPPt at its relaxed geometry.

POSCAR file:
```
Mn2CoPPt
1.0
-4.384 -1.167 -1.946
-0.680 -2.823 3.224
-2.133 3.562 2.670
Co Mn P Pt
1 2 1 1
direct
0.500 0.500 0.500
0.500 0.000 0.000
0.000 0.000 0.500
0.000 0.500 0.000
0.000 0.000 0.000
```

Summary:
**Excess energy over the best structure of this formula in the dataset**: 531.6 meV/atom
**Energy relative to the elements**: 91.1 kJ per mole of atoms
**Total magnetization**: 10.415 Bohr magnetons per cell
**V**: 21.1 Å³/atom
**Fermi-level density of states**: 0.69 states/eV/atom
**Crystal system**: tetragonal

VASP calculation (GGA-PBE) on crystalline MnCoPRu at its relaxed geometry.

POSCAR file:
```
MnCoPRu
1.0
-0.128 -4.094 0.079
3.411 -2.142 0.746
0.430 -1.995 3.552
P Co Ru Mn
1 1 1 1
direct
0.250 0.250 0.250
0.500 0.500 0.500
0.000 0.000 0.000
0.750 0.750 0.750
```

Summary:
**Energy relative to the elements**: -18.9 kJ per mole of atoms
**Total magnetization**: 5.001 Bohr magnetons per cell
**V**: 12.2 Å³/atom
**Fermi-level density of states**: 0.47 states/eV/atom
**Crystal system**: cubic

VASP calculation (GGA-PBE) on crystalline MnCoPS2 at its relaxed geometry.

POSCAR file:
```
MnCoPS2
1.0
4.551 0.000 0.000
0.000 4.551 0.000
0.000 0.000 4.339
S Mn P Co
2 1 1 1
direct
0.000 0.500 0.000
0.500 0.000 0.000
0.000 0.000 0.000
0.000 0.000 0.500
0.500 0.500 0.500
```

Summary:
**Excess energy over the best structure of this formula in the dataset**: 0.0 meV/atom
**Total magnetization**: 5.068 Bohr magnetons per cell
**V**: 18.0 Å³/atom
**Formation energy (no corrections)**: 720 meV/atom
**Fermi-level density of states**: 1.27 states/eV/atom
**Crystal system**: tetragonal

VASP calculation (GGA-PBE) on crystalline MnCoPS2 at its relaxed geometry.

POSCAR file:
```
MnCoPS2
1.0
4.448 0.000 0.000
0.000 4.448 0.000
0.000 0.000 4.142
Mn Co S P
1 1 2 1
direct
0.500 0.500 0.500
0.000 0.000 0.000
0.000 0.500 0.000
0.500 0.000 0.000
0.000 0.000 0.500
```

Summary:
**Excess energy over the best structure of this formula in the dataset**: 183.9 meV/atom
**Total magnetization**: 0.103 Bohr magnetons per cell
**V**: 16.4 Å³/atom
**Formation energy (no corrections)**: 904 meV/atom
**Fermi-level density of states**: 0.99 states/eV/atom
**Crystal system**: tetragonal

VASP calculation (GGA-PBE) on crystalline MnCoP2S at its relaxed geometry.

POSCAR file:
```
MnCoP2S
1.0
-2.066 -3.698 -0.658
1.703 -0.253 -3.926
3.667 -2.359 1.742
Mn P S Co
1 2 1 1
direct
0.500 0.500 0.500
0.000 0.500 0.000
0.500 0.000 0.000
0.000 0.000 0.500
0.000 0.000 0.000
```

Summary:
**Excess energy over the best structure of this formula in the dataset**: 182.7 meV/atom
**Total magnetization**: 0.312 Bohr magnetons per cell
**V**: 17.3 Å³/atom
**Formation energy (no corrections)**: 939 meV/atom
**Fermi-level density of states**: 0.97 states/eV/atom
**Crystal system**: tetragonal

VASP calculation (GGA-PBE) on crystalline MnCoP2S at its relaxed geometry.

POSCAR file:
```
MnCoP2S
1.0
-1.826 3.842 -0.933
-1.988 -1.781 -3.441
-3.538 -1.052 2.589
Mn P S Co
1 2 1 1
direct
0.000 0.000 0.000
0.000 0.500 0.000
0.500 0.000 0.000
0.000 0.000 0.500
0.500 0.500 0.500
```

Summary:
**Excess energy over the best structure of this formula in the dataset**: 0.0 meV/atom
**Total magnetization**: 0.210 Bohr magnetons per cell
**V**: 17.1 Å³/atom
**Formation energy (no corrections)**: 756 meV/atom
**Fermi-level density of states**: 0.60 states/eV/atom
**Crystal system**: tetragonal

VASP calculation (GGA-PBE) on crystalline MnCoPSe at its relaxed geometry.

POSCAR file:
```
MnCoPSe
1.0
3.254 0.000 0.000
0.000 3.254 0.000
0.000 0.000 5.492
P Se Co Mn
1 1 1 1
direct
0.500 0.000 0.487
0.000 0.500 0.938
0.500 0.000 0.087
0.000 0.500 0.380
```

Summary:
**Excess energy over the best structure of this formula in the dataset**: 186.3 meV/atom
**Total magnetization**: 1.889 Bohr magnetons per cell
**V**: 14.5 Å³/atom
**Formation energy (no corrections)**: -192 meV/atom
**Fermi-level density of states**: 0.80 states/eV/atom
**Crystal system**: tetragonal